1.
# Na2Al17Si11B7H6O62

A PBEsol-optimized structure of Na2Al17Si11B7H6O62 (meta-GGA SCAN, the Alexandria database).

Values from the calculation:
Total magnetization (μB/cell): 0.06
V (Å³/cell): 1015.5
Energy (eV per atom): -9.69

Cell lengths 9.413, 9.419, 13.132 Å; angles 98.80, 98.98, 114.49 degrees
Positions (direct):
Na (0.000, 0.000, 0.000)
Na (0.467, 0.459, 0.462)
Al (0.026, 0.469, 0.797)
Al (0.120, 0.289, 0.281)
Al (0.187, 0.854, 0.410)
Al (0.198, 0.976, 0.632)
Al (0.289, 0.119, 0.282)
Al (0.357, 0.688, 0.911)
Al (0.467, 0.682, 0.136)
Al (0.468, 0.031, 0.794)
Al (0.520, 0.961, 0.300)
Al (0.616, 0.797, 0.795)
Al (0.680, 0.465, 0.134)
Al (0.681, 0.354, 0.907)
Al (0.786, 0.605, 0.790)
Al (0.855, 0.189, 0.410)
Al (0.888, 0.886, 0.704)
Al (0.960, 0.520, 0.299)
Al (0.966, 0.191, 0.631)
Si (0.185, 0.374, 0.990)
Si (0.269, 0.890, 0.082)
Si (0.308, 0.482, 0.678)
Si (0.373, 0.185, 0.990)
Si (0.389, 0.769, 0.585)
Si (0.681, 0.866, 0.488)
Si (0.761, 0.381, 0.587)
Si (0.795, 0.990, 0.178)
Si (0.866, 0.677, 0.490)
Si (0.889, 0.272, 0.081)
Si (0.988, 0.795, 0.178)
B (0.134, 0.806, 0.802)
B (0.141, 0.140, 0.466)
B (0.297, 0.626, 0.306)
B (0.493, 0.295, 0.680)
B (0.625, 0.297, 0.305)
B (0.640, 0.640, 0.966)
B (0.807, 0.135, 0.804)
H (0.085, 0.464, 0.462)
H (0.154, 0.154, 0.777)
H (0.461, 0.086, 0.464)
H (0.552, 0.550, 0.246)
H (0.593, 0.965, 0.962)
H (0.959, 0.593, 0.961)
O (0.025, 0.174, 0.502)
O (0.076, 0.795, 0.078)
O (0.088, 0.088, 0.706)
O (0.117, 0.912, 0.288)
O (0.121, 0.404, 0.688)
O (0.159, 0.158, 0.189)
O (0.170, 0.022, 0.500)
O (0.170, 0.690, 0.834)
O (0.180, 0.668, 0.333)
O (0.190, 0.476, 0.899)
O (0.216, 0.215, 0.394)
O (0.226, 0.227, 0.940)
O (0.243, 0.914, 0.759)
O (0.255, 0.829, 0.549)
O (0.271, 0.996, 0.994)
O (0.294, 0.486, 0.321)
O (0.295, 0.490, 0.100)
O (0.309, 0.576, 0.581)
O (0.336, 0.764, 0.044)
O (0.368, 0.349, 0.646)
O (0.369, 0.994, 0.202)
O (0.397, 0.001, 0.398)
O (0.411, 0.129, 0.690)
O (0.412, 0.737, 0.267)
O (0.418, 0.619, 0.788)
O (0.475, 0.188, 0.900)
O (0.485, 0.293, 0.319)
O (0.488, 0.294, 0.100)
O (0.496, 0.788, 0.498)
O (0.501, 0.875, 0.703)
O (0.517, 0.897, 0.893)
O (0.524, 0.675, 0.000)
O (0.573, 0.296, 0.589)
O (0.606, 0.605, 0.195)
O (0.612, 0.405, 0.780)
O (0.612, 0.904, 0.189)
O (0.667, 0.180, 0.333)
O (0.669, 0.522, 0.998)
O (0.691, 0.168, 0.836)
O (0.697, 0.974, 0.403)
O (0.702, 0.704, 0.701)
O (0.712, 0.711, 0.449)
O (0.719, 0.718, 0.895)
O (0.736, 0.411, 0.265)
O (0.763, 0.337, 0.042)
O (0.780, 0.493, 0.501)
O (0.795, 0.078, 0.078)
O (0.807, 0.975, 0.602)
O (0.811, 0.989, 0.808)
O (0.828, 0.254, 0.548)
O (0.853, 0.854, 0.137)
O (0.875, 0.500, 0.702)
O (0.894, 0.516, 0.892)
O (0.902, 0.612, 0.189)
O (0.913, 0.119, 0.288)
O (0.913, 0.243, 0.760)
O (0.973, 0.692, 0.404)
O (0.977, 0.807, 0.602)
O (0.988, 0.807, 0.806)
O (0.995, 0.370, 0.201)
O (0.996, 0.274, 0.994)
O (0.999, 0.397, 0.397)


2.
# KGeTeI2

A PBEsol-optimized structure of KGeTeI2 (meta-GGA SCAN, the Alexandria database).

Values from the calculation:
Total magnetization (μB/cell): 0.00
V (Å³/cell): 183.5
Energy (eV per atom): -28.14
Formation energy without anion corrections (meV/atom): -506

Cell lengths 5.796, 5.796, 5.463 Å; angles 90.00, 90.00, 90.00 degrees
Positions (direct):
K (0.000, 0.000, 0.000)
Ge (0.500, 0.500, 0.500)
Te (0.500, 0.500, 0.000)
I (0.000, 0.500, 0.500)
I (0.500, 0.000, 0.500)


3.
# Ba2PrNbO6

A PBEsol-optimized structure of Ba2PrNbO6 (meta-GGA SCAN, the Alexandria database).

Values from the calculation:
Total magnetization (μB/cell): 0.00
V (Å³/cell): 162.0
Energy (eV per atom): -22.50
Formation energy without anion corrections (meV/atom): -3207

Cell lengths 6.119, 6.119, 6.119 Å; angles 60.00, 60.00, 60.00 degrees
Positions (direct):
Ba (0.250, 0.250, 0.250)
Ba (0.750, 0.750, 0.750)
Pr (0.000, 0.000, 0.000)
Nb (0.500, 0.500, 0.500)
O (0.268, 0.268, 0.732)
O (0.268, 0.732, 0.268)
O (0.268, 0.732, 0.732)
O (0.732, 0.268, 0.268)
O (0.732, 0.268, 0.732)
O (0.732, 0.732, 0.268)


The lowest V belongs to which entry?
Ba2PrNbO6